## HRhBr4 (PBE-GGA)

Data for a relaxed structure of HRhBr4.

Summary:
SG: C2/c

Cell lengths 6.5057, 8.4035, 9.4056 Å; angles 101.89, 92.00, 134.10 degrees
With the nearest neighbours (Å) after each atom.
Atoms (fractional coordinates):
H (0.3941, 0.6441, 0.2881)  2 Br 1.72
H (0.6059, 0.3559, 0.7119)  2 Br 1.72
Rh (0.8009, 0.0509, 0.1018)  6 Br 2.51-2.53
Rh (0.1991, 0.9491, 0.8982)  6 Br 2.51-2.53
Br (0.4682, 0.0868, 0.6952)  1 H 1.72
Br (0.9192, 0.8226, 0.0967)  2 Rh 2.51
Br (0.2731, 0.3917, 0.3048)  1 H 1.72
Br (0.3226, 0.7259, 0.9033)  2 Rh 2.51
Br (0.5317, 0.9132, 0.3048)  1 H 1.72
Br (0.7269, 0.6083, 0.6952)  1 H 1.72
Br (0.0808, 0.1774, 0.9033)  2 Rh 2.51
Br (0.6774, 0.2741, 0.0967)  2 Rh 2.51

## HRhBr (PBE-GGA)

Data for a relaxed structure of HRhBr.

Summary:
SG: Fdd2

Cell lengths 6.1676, 6.4121, 6.1676 Å; angles 72.70, 67.57, 107.30 degrees
With the nearest neighbours (Å) after each atom.
Atoms (fractional coordinates):
H (0.3589, 0.1854, 0.7389)  2 Rh 1.75-1.84
H (0.5111, 0.6854, 0.8911)  2 Rh 1.75-1.84
H (0.4234, 0.3146, 0.1743)  2 Rh 1.75-1.84
H (0.0757, 0.8146, 0.8266)  2 Rh 1.75-1.84
Rh (0.2273, 0.0772, 0.5233)  2 H 1.75-1.84
Rh (0.7267, 0.5772, 0.0227)  2 H 1.75-1.84
Rh (0.3995, 0.9228, 0.8499)  2 H 1.75-1.84
Rh (0.4001, 0.4228, 0.8505)  2 H 1.75-1.84
Br (0.8704, 0.1811, 0.5283)  2 Rh 2.43-2.47
Br (0.9393, 0.3189, 0.9594)  2 Rh 2.43-2.47
Br (0.7217, 0.6811, 0.3796)  2 Rh 2.43-2.47
Br (0.2906, 0.8189, 0.3107)  2 Rh 2.43-2.47

## HRhBr2 (PBE-GGA)

Data for a relaxed structure of HRhBr2.

Summary:
Excess energy over the best structure of this formula in the dataset, eV/atom: 0.000
SG: R-3m

Cell lengths 6.5909, 6.5909, 6.5909 Å; angles 36.34, 36.34, 36.34 degrees
With the nearest neighbours (Å) after each atom.
Atoms (fractional coordinates):
H (0.0000, 0.0000, 0.0000)  2 Br 1.73
Rh (0.5000, 0.5000, 0.5000)  6 Br 2.73
Br (0.9064, 0.9064, 0.9064)  1 H 1.73
Br (0.0936, 0.0936, 0.0936)  1 H 1.73

## HRu2RhBr (PBE-GGA)

Data for a relaxed structure of HRu2RhBr.

Summary:
SG: P4/mmm

Cell lengths 4.8702, 3.2278, 4.8702 Å; angles 90.00, 90.00, 90.00 degrees
With the nearest neighbours (Å) after each atom.
Atoms (fractional coordinates):
Ru (0.0000, 0.0000, 0.5000)  2 Rh 2.44
Ru (0.5000, 0.0000, 0.0000)  2 Rh 2.44
Rh (0.0000, 0.0000, 0.0000)  2 H 1.61
Br (0.5000, 0.5000, 0.5000)  8 Ru 2.92, 2 Br 3.23
H (0.0000, 0.5000, 0.0000)  2 Rh 1.61

## HRuRhBr2 (PBE-GGA)

Data for a relaxed structure of HRuRhBr2.

Summary:
SG: P4/mmm

Cell lengths 4.9923, 3.2837, 4.9923 Å; angles 90.00, 90.00, 90.00 degrees
With the nearest neighbours (Å) after each atom.
Atoms (fractional coordinates):
Ru (0.5000, 0.5000, 0.5000)  8 Br 2.99, 2 Ru 3.28
Rh (0.0000, 0.0000, 0.0000)  2 H 1.64
Br (0.0000, 0.0000, 0.5000)  2 Rh 2.50
Br (0.5000, 0.0000, 0.0000)  2 Rh 2.50
H (0.0000, 0.5000, 0.0000)  2 Rh 1.64

## SbHRh2Br (PBE-GGA)

Data for a relaxed structure of SbHRh2Br.

Summary:
SG: P4/mmm

Cell lengths 4.5977, 5.5905, 4.5977 Å; angles 90.00, 90.00, 90.00 degrees
With the nearest neighbours (Å) after each atom.
Atoms (fractional coordinates):
Sb (0.0000, 0.5000, 0.0000)  2 Br 2.80
Rh (0.0000, 0.0000, 0.5000)  2 Br 2.30
Rh (0.5000, 0.0000, 0.0000)  2 Br 2.30
Br (0.0000, 0.0000, 0.0000)  4 Rh 2.30
H (0.5000, 0.5000, 0.5000)  4 Sb 3.25, 8 Rh 3.62

## HRhSe2Br (PBE-GGA)

Data for a relaxed structure of HRhSe2Br.

Summary:
Excess energy over the best structure of this formula in the dataset, eV/atom: 0.007
SG: P4/mmm

Cell lengths 4.8011, 4.8011, 5.4200 Å; angles 90.00, 90.00, 90.00 degrees
With the nearest neighbours (Å) after each atom.
Atoms (fractional coordinates):
H (0.5000, 0.5000, 0.5000)  4 Br 3.39, 8 Se 3.62
Rh (0.0000, 0.0000, 0.0000)  4 Se 2.40
Se (0.0000, 0.5000, 0.0000)  2 Rh 2.40
Se (0.5000, 0.0000, 0.0000)  2 Rh 2.40
Br (0.0000, 0.0000, 0.5000)  2 Rh 2.71

## HRhSeBr2 (PBE-GGA)

Data for a relaxed structure of HRhSeBr2.

Summary:
Excess energy over the best structure of this formula in the dataset, eV/atom: 0.264
SG: P4/mmm

Cell lengths 5.1937, 5.1937, 3.4500 Å; angles 90.00, 90.00, 90.00 degrees
With the nearest neighbours (Å) after each atom.
Atoms (fractional coordinates):
H (0.0000, 0.0000, 0.0000)  2 Se 1.73
Rh (0.5000, 0.5000, 0.5000)  8 Br 3.12, 2 Rh 3.45
Se (0.0000, 0.0000, 0.5000)  2 H 1.73
Br (0.0000, 0.5000, 0.0000)  2 H 2.60
Br (0.5000, 0.0000, 0.0000)  2 H 2.60

## HRhSe2Br (PBE-GGA)

Data for a relaxed structure of HRhSe2Br.

Summary:
Excess energy over the best structure of this formula in the dataset, eV/atom: 0.000
SG: P4/mmm

Cell lengths 3.8422, 3.8422, 7.1482 Å; angles 90.00, 90.00, 90.00 degrees
With the nearest neighbours (Å) after each atom.
Atoms (fractional coordinates):
H (0.0000, 0.0000, 0.0000)  4 Se 1.92
Rh (0.5000, 0.5000, 0.5000)  4 Br 2.72
Se (0.0000, 0.5000, 0.0000)  2 H 1.92
Se (0.5000, 0.0000, 0.0000)  2 H 1.92
Br (0.0000, 0.0000, 0.5000)  4 Rh 2.72

## HRhSeBr2 (PBE-GGA)

Data for a relaxed structure of HRhSeBr2.

Summary:
Excess energy over the best structure of this formula in the dataset, eV/atom: 0.000
SG: P4/mmm

Cell lengths 5.2966, 5.2966, 4.6242 Å; angles 90.00, 90.00, 90.00 degrees
With the nearest neighbours (Å) after each atom.
Atoms (fractional coordinates):
H (0.5000, 0.5000, 0.5000)  8 Br 3.52, 4 Se 3.75
Rh (0.0000, 0.0000, 0.0000)  2 Se 2.31
Se (0.0000, 0.0000, 0.5000)  2 Rh 2.31
Br (0.0000, 0.5000, 0.0000)  2 Rh 2.65
Br (0.5000, 0.0000, 0.0000)  2 Rh 2.65

## Sm6HRh2Br3 (PBE-GGA)

Data for a relaxed structure of Sm6HRh2Br3.

Summary:
SG: C2/m

Cell lengths 6.9174, 6.9174, 8.0709 Å; angles 98.29, 98.29, 119.81 degrees
With the nearest neighbours (Å) after each atom.
Atoms (fractional coordinates):
Sm (0.9356, 0.6057, 0.8060)  1 H 2.73, 2 Rh 2.76-2.77
Sm (0.7342, 0.7342, 0.1948)  1 H 2.75, 2 Rh 2.76
Sm (0.0644, 0.3943, 0.1940)  1 H 2.73, 2 Rh 2.76-2.77
Sm (0.6057, 0.9356, 0.8060)  1 H 2.73, 2 Rh 2.76-2.77
Sm (0.2658, 0.2658, 0.8052)  1 H 2.75, 2 Rh 2.76
Sm (0.3943, 0.0644, 0.1940)  1 H 2.73, 2 Rh 2.76-2.77
H (0.0000, 0.0000, 0.0000)  6 Sm 2.73-2.75
Rh (0.3335, 0.6665, 0.0000)  6 Sm 2.76-2.77
Rh (0.6665, 0.3335, 0.0000)  6 Sm 2.76-2.77
Br (0.1678, 0.8322, 0.5000)  6 Sm 3.30-3.31
Br (0.8322, 0.1678, 0.5000)  6 Sm 3.30-3.31
Br (0.5000, 0.5000, 0.5000)  6 Sm 3.30-3.32

## Sm8HRh3Br4 (PBE-GGA)

Data for a relaxed structure of Sm8HRh3Br4.

Summary:
SG: R-3m

Cell lengths 8.0346, 9.0166, 8.0332 Å; angles 116.43, 120.01, 90.00 degrees
With the nearest neighbours (Å) after each atom.
Atoms (fractional coordinates):
Sm (0.2290, 0.6935, 0.9646)  1 H 2.73, 2 Rh 2.77
Sm (0.2295, 0.6939, 0.4590)  1 H 2.74, 2 Rh 2.77
Sm (0.2677, 0.3029, 0.5353)  3 Rh 2.78
Sm (0.7356, 0.6935, 0.9646)  1 H 2.73, 2 Rh 2.77
Sm (0.2644, 0.3065, 0.0354)  1 H 2.73, 2 Rh 2.77
Sm (0.7323, 0.6971, 0.4647)  3 Rh 2.78
Sm (0.7705, 0.3061, 0.5410)  1 H 2.74, 2 Rh 2.77
Sm (0.7710, 0.3065, 0.0354)  1 H 2.73, 2 Rh 2.77
H (0.0000, 0.5000, 0.0000)  6 Sm 2.73-2.74
Rh (0.5000, 0.5000, 0.0000)  6 Sm 2.77-2.78
Rh (0.5000, 0.5000, 0.5000)  6 Sm 2.77-2.78
Rh (0.0000, 0.5000, 0.5000)  6 Sm 2.77-2.78
Br (0.5000, 0.0000, 0.0000)  6 Sm 3.33-3.34
Br (0.5000, 0.0000, 0.5000)  6 Sm 3.30-3.31
Br (0.0000, 0.0000, 0.0000)  6 Sm 3.30-3.31
Br (0.0000, 0.0000, 0.5000)  6 Sm 3.30-3.31

no.,DFT total energy (eV/atom),V (Å³/atom)
1,-3.226,29.13
2,-3.898,15.87
3,-3.330,22.49
4,-5.048,15.31
5,-3.943,16.37
6,-3.248,23.64
7,-3.191,24.99
8,-2.719,18.61
9,-3.198,21.10
10,-2.983,25.95
11,-5.206,26.75
12,-5.328,27.02